# PBE CsRbGa2Br8, optimized geometry
data_CsRbGa2Br8
_chemical_formula_sum 'Cs3 Rb3 Ga6 Br24'
_cell_length_a 7.3726
_cell_length_b 7.3726
_cell_length_c 31.5523
_cell_angle_alpha 90.00
_cell_angle_beta 90.00
_cell_angle_gamma 120.00
_symmetry_space_group_name_H-M 'R -3'
_symmetry_Int_Tables_number 148
_symmetry_space_group_name_Hall '-R 3'
loop_
_atom_site_label
_atom_site_type_symbol
_atom_site_fract_x
_atom_site_fract_y
_atom_site_fract_z
_atom_site_occupancy
Cs1 Cs 0.0000 0.0000 0.0000 1
Rb1 Rb 0.0000 0.0000 0.5000 1
Ga1 Ga 0.0000 0.0000 0.2565 1
Br1 Br 0.0000 0.0000 0.3314 1
Br2 Br 0.0020 0.6005 0.4347 1
# DOS at the Fermi energy (states/eV/f.u.): 0.00
# Formation energy without anion corrections (eV/f.u.): -14.71